A relaxed structure of LuAl2Ag, computed with PBE-GGA.

Cell: 4.431 4.431 4.431 Å, 60.00 60.00 60.00°
Element x y z (fractional)
Ag: 0.750 0.750 0.750
Al: 0.250 0.250 0.250
Al: 0.500 0.500 0.500
Lu: 0.000 0.000 0.000

Final energy ... -0.1336 Ha/atom

---

A relaxed structure of LuAlAg, computed with PBE-GGA.

Cell: 4.603 4.603 4.603 Å, 60.00 60.00 60.00°
Element x y z (fractional)
Ag: 0.000 0.000 0.000
Al: 0.250 0.250 0.250
Lu: 0.750 0.750 0.750

Final energy ... -0.1424 Ha/atom

---

A relaxed structure of NdLu2Al7Ag2, computed with PBE-GGA.

Cell: 9.322 9.322 9.322 Å, 34.57 34.57 34.57°
Element x y z (fractional)
Ag: 0.336 0.336 0.336
Ag: 0.664 0.664 0.664
Al: 0.589 0.589 0.077
Al: 0.923 0.411 0.411
Al: 0.411 0.923 0.411
Al: 0.500 0.500 0.500
Al: 0.589 0.077 0.589
Al: 0.077 0.589 0.589
Al: 0.411 0.411 0.923
Lu: 0.142 0.142 0.142
Lu: 0.858 0.858 0.858
Nd: 0.000 0.000 0.000

Final energy ... -0.1564 Ha/atom

---

A relaxed structure of LuAlAgPd, computed with PBE-GGA.

Cell: 4.685 4.685 4.685 Å, 60.00 60.00 60.00°
Element x y z (fractional)
Ag: 0.500 0.500 0.500
Al: 0.250 0.250 0.250
Lu: 0.750 0.750 0.750
Pd: 0.000 0.000 0.000

Excess energy over the best structure of this formula in the dataset ... 0 meV/atom

---

A relaxed structure of LuAlAgPd, computed with PBE-GGA.

Cell: 4.689 4.689 4.689 Å, 60.00 60.00 60.00°
Element x y z (fractional)
Ag: 0.500 0.500 0.500
Al: 0.000 0.000 0.000
Lu: 0.750 0.750 0.750
Pd: 0.250 0.250 0.250

Excess energy over the best structure of this formula in the dataset ... 192 meV/atom

---

A relaxed structure of LuAlAgPd, computed with PBE-GGA.

Cell: 4.712 4.712 4.712 Å, 60.00 60.00 60.00°
Element x y z (fractional)
Ag: 0.250 0.250 0.250
Al: 0.500 0.500 0.500
Lu: 0.750 0.750 0.750
Pd: 0.000 0.000 0.000

Excess energy over the best structure of this formula in the dataset ... 204 meV/atom